This record from the Alexandria database describes a geometry-optimized InGe2O2 structure. The functional is PBE.

abc: 8.3468 8.3468 3.0517
angles: 90.00 90.00 90.00
With the nearest neighbours (Å) after each atom.
Space group P4/mbm (No. 127)
Inequivalent atoms, fractional coordinates:
In  0.0000  0.0000  0.0000 (multiplicity 2)  4 O 2.96, 2 In 3.05
Ge  0.1727  0.3273  0.5000 (multiplicity 4)  2 O 1.92
O  0.2291  0.7291  0.0000 (multiplicity 4)  2 Ge 1.92

Calculated values
DOS(E_F) in states/eV/f.u.: 3.62
Excess energy over the best structure of this formula in the dataset in eV per atom: 0.000
ρ in g/cm3: 4.6
Raw formation energy in kJ/mol of atoms: -51.6

=====

This record from the Alexandria database describes a geometry-optimized Ca2GaCu12Ni3 structure. The functional is PBE.

abc: 8.4696 8.4696 12.2390
angles: 90.00 90.00 120.00
With the nearest neighbours (Å) after each atom.
Space group R-3m (No. 166, hexagonal axes)
Inequivalent atoms, fractional coordinates:
Ca  0.0000  0.0000  0.2397 (multiplicity 6)  3 Ni 2.70, 9 Cu 2.81-2.99
Ga  0.0000  0.0000  0.5000 (multiplicity 3)  6 Cu 2.38
Cu  0.0160  0.5080  0.2072 (multiplicity 18)  1 Ga 2.38, 5 Cu 2.40-2.53, 1 Ni 2.54
Cu  0.0465  0.5233  0.6007 (multiplicity 18)  6 Cu 2.40-2.65
Ni  0.0000  0.5000  0.0000 (multiplicity 9)  6 Cu 2.54-2.75, 2 Ca 2.70

Calculated values
DOS(E_F) in states/eV/f.u.: 7.06
ρ in g/cm3: 7.1
DFT formation energy in meV/atom: 79

=====

This record from the Alexandria database describes a geometry-optimized Be2Ir2W structure. The functional is PBE.

abc: 6.8010 6.8010 2.7644
angles: 90.00 90.00 90.00
With the nearest neighbours (Å) after each atom.
Space group P4/mbm (No. 127)
Inequivalent atoms, fractional coordinates:
Be  0.1572  0.3428  0.0000 (multiplicity 4)  6 Ir 2.39-2.45
Ir  0.1406  0.6406  0.5000 (multiplicity 4)  6 Be 2.39-2.45, 2 W 2.62
W  0.0000  0.0000  0.5000 (multiplicity 2)  4 Ir 2.62, 2 W 2.76, 8 Be 2.91

Calculated values
DOS(E_F) in states/eV/f.u.: 2.62
Excess energy over the best structure of this formula in the dataset in eV per atom: 0.251
ρ in g/cm3: 15.2
DFT formation energy in meV/atom: -104

=====

This record from the Alexandria database describes a geometry-optimized TlNiOs2 structure. The functional is PBE.

abc: 2.8506 2.8506 26.8844
angles: 90.00 90.00 120.00
With the nearest neighbours (Å) after each atom.
Space group R3m (No. 160, hexagonal axes)
Inequivalent atoms, fractional coordinates:
Tl  0.0000  0.0000  0.0000 (multiplicity 3)  3 Ni 2.82, 6 Tl 2.85, 3 Os 3.05
Ni  0.0000  0.0000  0.7518 (multiplicity 3)  3 Os 2.62, 3 Tl 2.82, 6 Ni 2.85
Os  0.0000  0.0000  0.2379 (multiplicity 3)  9 Os 2.64-2.85
Os  0.0000  0.0000  0.4944 (multiplicity 3)  3 Ni 2.62, 9 Os 2.64-2.85

Calculated values
DOS(E_F) in states/eV/f.u.: 4.48
Excess energy over the best structure of this formula in the dataset in eV per atom: 0.149
ρ in g/cm3: 16.9
DFT formation energy in meV/atom: 618

=====

This record from the Alexandria database describes a geometry-optimized RuRhW2 structure. The functional is PBE.

abc: 2.7924 3.8595 5.5809
angles: 90.00 90.00 90.00
With the nearest neighbours (Å) after each atom.
Space group Pmmm (No. 47)
Inequivalent atoms, fractional coordinates:
Ru  0.0000  0.0000  0.0000 (multiplicity 1)  8 W 2.75, 2 Rh 2.79, 2 Ru 2.79
Rh  0.0000  0.0000  0.5000 (multiplicity 1)  8 W 2.77, 2 Ru 2.79, 2 Rh 2.79
W  0.5000  0.5000  0.2461 (multiplicity 2)  4 W 2.75-2.83, 4 Ru 2.75, 4 Rh 2.77

Calculated values
DOS(E_F) in states/eV/f.u.: 3.22
Excess energy over the best structure of this formula in the dataset in eV per atom: 0.014
ρ in g/cm3: 15.8
DFT formation energy in meV/atom: -65

=====

This record from the Alexandria database describes a geometry-optimized CrCdCoAg2 structure. The functional is PBE.

abc: 5.0584 5.0584 5.0729
angles: 90.00 90.00 90.00
With the nearest neighbours (Å) after each atom.
Space group P4/mmm (No. 123)
Inequivalent atoms, fractional coordinates:
Cr  0.0000  0.0000  0.0000 (multiplicity 1)  2 Cd 2.54
Cd  0.0000  0.0000  0.5000 (multiplicity 1)  4 Ag 2.53, 2 Cr 2.54
Co  0.5000  0.5000  0.0000 (multiplicity 1)  4 Cr 3.58, 8 Ag 3.58
Ag  0.0000  0.5000  0.5000 (multiplicity 2)  2 Cd 2.53

Calculated values
DOS(E_F) in states/eV/f.u.: 6.76
ρ in g/cm3: 5.6
DFT formation energy in meV/atom: 1513

=====

This record from the Alexandria database describes a geometry-optimized Cu5PdRh structure. The functional is PBE.

abc: 5.2023 7.2304 5.2235
angles: 90.00 90.00 90.00
With the nearest neighbours (Å) after each atom.
Space group Cmmm (No. 65)
Inequivalent atoms, fractional coordinates:
Cu  0.0000  0.0000  0.0000 (multiplicity 2)  8 Cu 2.59, 2 Rh 2.60, 2 Pd 2.61
Cu  0.2500  0.2500  0.2517 (multiplicity 8)  2 Pd 2.58, 6 Cu 2.59-2.63, 2 Rh 2.59
Pd  0.0000  0.0000  0.5000 (multiplicity 2)  10 Cu 2.58-2.61
Rh  0.0000  0.5000  0.0000 (multiplicity 2)  10 Cu 2.59-2.60

Calculated values
DOS(E_F) in states/eV/f.u.: 3.19
ρ in g/cm3: 8.9
DFT formation energy in meV/atom: 159

=====

This record from the Alexandria database describes a geometry-optimized ScNi4Mo structure. The functional is PBE.

abc: 6.8044 6.8044 6.8044
angles: 90.00 90.00 90.00
With the nearest neighbours (Å) after each atom.
Space group F-43m (No. 216)
Inequivalent atoms, fractional coordinates:
Sc  0.0000  0.0000  0.0000 (multiplicity 4)  12 Ni 2.82, 4 Mo 2.95
Ni  0.1246  0.1246  0.3754 (multiplicity 16)  6 Ni 2.40-2.41
Mo  0.2500  0.2500  0.7500 (multiplicity 4)  12 Ni 2.82, 4 Sc 2.95

Calculated values
DOS(E_F) in states/eV/f.u.: 8.89
ρ in g/cm3: 7.9
DFT formation energy in meV/atom: -151

=====

This record from the Alexandria database describes a geometry-optimized BaTlZn structure. The functional is PBE.

abc: 7.4528 7.4528 7.4528
angles: 90.00 90.00 90.00
With the nearest neighbours (Å) after each atom.
Space group F-43m (No. 216)
Inequivalent atoms, fractional coordinates:
Ba  0.0000  0.0000  0.0000 (multiplicity 4)  4 Zn 3.23
Tl  0.0000  0.0000  0.5000 (multiplicity 4)  4 Zn 3.23
Zn  0.2500  0.2500  0.7500 (multiplicity 4)  4 Ba 3.23, 4 Tl 3.23

Calculated values
DOS(E_F) in states/eV/f.u.: 4.83
Excess energy over the best structure of this formula in the dataset in eV per atom: 0.116
ρ in g/cm3: 6.5
DFT formation energy in meV/atom: -149

=====

This record from the Alexandria database describes a geometry-optimized LiTiIn structure. The functional is PBE.

abc: 5.1320 3.0355 7.5058
angles: 90.00 98.82 90.00
With the nearest neighbours (Å) after each atom.
Space group P2_1/m (No. 11)
Inequivalent atoms, fractional coordinates:
Li  0.2416  0.2500  0.0103 (multiplicity 2)  6 Li 2.89-3.08, 3 In 2.90-2.95, 3 Ti 3.01-3.20
Ti  0.0022  0.2500  0.3521 (multiplicity 2)  2 Ti 2.69, 2 In 2.97, 1 Li 3.01
In  0.4996  0.2500  0.6845 (multiplicity 2)  3 Li 2.90-2.95, 4 Ti 2.97-3.02, 4 In 3.04-3.16

Calculated values
DOS(E_F) in states/eV/f.u.: 2.03
Excess energy over the best structure of this formula in the dataset in eV per atom: 0.110
ρ in g/cm3: 4.9
DFT formation energy in meV/atom: -63

=====

This record from the Alexandria database describes a geometry-optimized TcRh4Se structure. The functional is PBE.

abc: 7.2636 7.2636 7.2636
angles: 90.00 90.00 90.00
With the nearest neighbours (Å) after each atom.
Space group F-43m (No. 216)
Inequivalent atoms, fractional coordinates:
Tc  0.0000  0.0000  0.0000 (multiplicity 4)  12 Rh 3.01, 4 Se 3.15
Rh  0.1256  0.1256  0.3744 (multiplicity 16)  6 Rh 2.56-2.58
Se  0.2500  0.2500  0.7500 (multiplicity 4)  12 Rh 3.01, 4 Tc 3.15

Calculated values
DOS(E_F) in states/eV/f.u.: 9.99
ρ in g/cm3: 10.2
Raw formation energy in kJ/mol of atoms: 58.3

=====

This record from the Alexandria database describes a geometry-optimized SrCaH2Se structure. The functional is PBE.

abc: 4.4036 4.4036 5.7611
angles: 90.00 90.00 90.00
With the nearest neighbours (Å) after each atom.
Space group P4/mmm (No. 123)
Inequivalent atoms, fractional coordinates:
Sr  0.0000  0.0000  0.0000 (multiplicity 1)  4 Se 3.11
Ca  0.5000  0.5000  0.5000 (multiplicity 1)  4 H 2.20
H  0.0000  0.5000  0.5000 (multiplicity 2)  2 Ca 2.20
Se  0.5000  0.5000  0.0000 (multiplicity 1)  2 Ca 2.88, 4 Sr 3.11

Calculated values
DOS(E_F) in states/eV/f.u.: 0.00
Energy in eV/cell: -18.8
ρ in g/cm3: 3.1

=====

What did the sixth record say?
This record from the Alexandria database describes a geometry-optimized CrCdCoAg2 structure. The functional is PBE.

abc: 5.0584 5.0584 5.0729
angles: 90.00 90.00 90.00
With the nearest neighbours (Å) after each atom.
Space group P4/mmm (No. 123)
Inequivalent atoms, fractional coordinates:
Cr  0.0000  0.0000  0.0000 (multiplicity 1)  2 Cd 2.54
Cd  0.0000  0.0000  0.5000 (multiplicity 1)  4 Ag 2.53, 2 Cr 2.54
Co  0.5000  0.5000  0.0000 (multiplicity 1)  4 Cr 3.58, 8 Ag 3.58
Ag  0.0000  0.5000  0.5000 (multiplicity 2)  2 Cd 2.53

Calculated values
DOS(E_F) in states/eV/f.u.: 6.76
ρ in g/cm3: 5.6
DFT formation energy in meV/atom: 1513